1.
VASP calculation (PBE) on Al2Re after structural relaxation.

Calculated values
**Energy relative to the elements**: 0.221 eV/atom
**Uncorrected energy**: -6.423 eV per atom
**Size of the total moment**: 0.000 μB per atom

Lattice parameters (Å, degrees): 5.8687 7.3940 2.6859 90.00 90.00 90.00
Space group Pnnm (No. 58)
Asymmetric unit:
Al 0.2332 0.2338 0.0000 [4 per cell]
Re 0.0000 0.0000 0.5000 [2 per cell]

2.
VASP calculation (PBE) on AlRe after structural relaxation.

Calculated values
**Energy relative to the elements**: -0.004 eV/atom
**Uncorrected energy**: -8.099 eV per atom
**Size of the total moment**: 0.000 μB per atom

Lattice parameters (Å, degrees): 2.7657 9.7496 4.3097 90.00 90.00 90.00
Space group Cmcm (No. 63)
Asymmetric unit:
Al 0.0000 0.0672 0.2500 [4 per cell]
Re 0.0000 0.3227 0.2500 [4 per cell]

3.
VASP calculation (PBE) on AlRe after structural relaxation.

Calculated values
**Energy relative to the elements**: 0.934 eV/atom
**Uncorrected energy**: -7.161 eV per atom
**Size of the total moment**: 0.001 μB per atom

Lattice parameters (Å, degrees): 5.0574 5.0574 5.0574 90.00 90.00 90.00
Space group Fm-3m (No. 225)
Asymmetric unit:
Al 0.0000 0.0000 0.0000 [4 per cell]
Re 0.0000 0.0000 0.5000 [4 per cell]